[1]
This record from Alexandria describes RbHfS2 after structural relaxation. The functional is GGA-PBEsol.

space-group type: No. 122
uncorrected formation energy: -1.14 eV/atom

Cell: 6.7411 6.7411 6.7411 Å, 113.18 113.18 102.28°
Fractional coordinates of all 8 atoms:
1 Rb 0.0000 0.0000 0.0000
2 Rb 0.7500 0.2500 0.5000
3 Hf 0.2500 0.7500 0.5000
4 Hf 0.5000 0.5000 0.0000
5 S 0.2209 0.6250 0.0959
6 S 0.3750 0.4709 0.5959
7 S 0.5291 0.1250 0.9041
8 S 0.8750 0.7791 0.4041

***

[2]
This record from Alexandria describes Rb2Hf2S after structural relaxation. The functional is GGA-PBEsol.

space-group type: No. 139
uncorrected formation energy: 0.41 eV/atom

Cell: 11.8132 11.8132 11.8132 Å, 161.11 161.11 26.83°
Fractional coordinates of all 5 atoms:
1 Rb 0.0787 0.0787 0.0000
2 Rb 0.9213 0.9213 0.0000
3 Hf 0.2500 0.7500 0.5000
4 Hf 0.7500 0.2500 0.5000
5 S 0.5000 0.5000 0.0000

***

[3]
This record from Alexandria describes RbHfScS2 after structural relaxation. The functional is GGA-PBEsol.

space-group type: No. 123
uncorrected formation energy: 0.18 eV/atom

Cell: 4.9227 4.9227 5.7554 Å, 90.00 90.00 90.00°
Fractional coordinates of all 5 atoms:
1 Rb 0.0000 0.0000 0.0000
2 Hf 0.0000 0.0000 0.5000
3 Sc 0.5000 0.5000 0.0000
4 S 0.0000 0.5000 0.5000
5 S 0.5000 0.0000 0.5000

***

[4]
This record from Alexandria describes Rb3HfSb after structural relaxation. The functional is GGA-PBEsol.

space-group type: No. 221
uncorrected formation energy: 1.07 eV/atom

Cell: 6.8535 6.8535 6.8535 Å, 90.00 90.00 90.00°
Fractional coordinates of all 5 atoms:
1 Rb 0.0000 0.0000 0.5000
2 Rb 0.0000 0.5000 0.0000
3 Rb 0.5000 0.0000 0.0000
4 Hf 0.5000 0.5000 0.5000
5 Sb 0.0000 0.0000 0.0000